w:
Material: ErSnPd5
Method: DFT, PBE
State: optimized geometry

Computed properties:
For the total magnetization, the calculation gives 0.000 μB per atom. For the density of states at the Fermi level, the calculation gives 4.95 states/eV/cell.

a = 4.823 Å, b = 4.823 Å, c = 11.593 Å
α = 90.01°, β = 90.01°, γ = 74.65°
Atoms (fractional coordinates):
Pd (0.003, 0.498, 0.620)
Pd (0.002, 0.998, 0.750)
Pd (0.501, 0.997, 0.620)
Pd (0.502, 0.997, 0.880)
Pd (0.003, 0.499, 0.880)
Pd (0.998, 0.002, 0.250)
Pd (0.997, 0.501, 0.120)
Pd (0.997, 0.502, 0.380)
Pd (0.499, 0.003, 0.380)
Pd (0.498, 0.003, 0.120)
Sn (0.000, 0.000, 0.500)
Sn (0.000, 0.000, 0.000)
Er (0.503, 0.497, 0.750)
Er (0.497, 0.503, 0.250)

=====

x:
Material: ErSnPd5
Method: DFT, PBE
State: optimized geometry

Computed properties:
For the total magnetization, the calculation gives 0.000 μB per atom. For the density of states at the Fermi level, the calculation gives 1.55 states/eV/cell.

a = 4.109 Å, b = 4.109 Å, c = 7.578 Å
α = 90.00°, β = 90.00°, γ = 90.00°
Atoms (fractional coordinates):
Pd (0.500, 0.000, 0.228)
Pd (0.000, 0.500, 0.772)
Pd (0.000, 0.500, 0.228)
Pd (0.500, 0.000, 0.772)
Pd (0.500, 0.500, 0.500)
Er (0.000, 0.000, 0.500)
Sn (0.500, 0.500, 0.000)

=====

Which of them is the most stable, and which is the least stable? x and w, in that order.

=====

w:
Material: SrErPd
Method: DFT, PBE
State: optimized geometry

Computed properties:
For the total magnetization, the calculation gives 0.000 μB per atom. For the density of states at the Fermi level, the calculation gives 5.45 states/eV/cell.

a = 3.818 Å, b = 6.200 Å, c = 14.124 Å
α = 140.58°, β = 90.00°, γ = 107.93°
Atoms (fractional coordinates):
Er (0.757, 0.514, 0.390)
Er (0.243, 0.486, 0.610)
Pd (0.930, 0.860, 0.847)
Pd (0.070, 0.140, 0.153)
Sr (0.778, 0.557, 0.141)
Sr (0.222, 0.443, 0.859)

=====

x:
Material: SrErPd
Method: DFT, PBE
State: optimized geometry

Computed properties:
For the total magnetization, the calculation gives 0.000 μB per atom. For the density of states at the Fermi level, the calculation gives 2.54 states/eV/cell.

a = 3.641 Å, b = 3.641 Å, c = 7.132 Å
α = 104.79°, β = 104.79°, γ = 90.00°
Atoms (fractional coordinates):
Pd (0.688, 0.688, 0.376)
Sr (0.024, 0.024, 0.049)
Er (0.288, 0.288, 0.575)

=====

Which of them is the most stable, and which is the least stable? x and w, in that order.

=====

w:
Material: TbEr3Pd3
Method: DFT, PBE
State: optimized geometry

Computed properties:
For the total magnetization, the calculation gives 0.000 μB per atom. For the density of states at the Fermi level, the calculation gives 5.72 states/eV/cell.

a = 6.013 Å, b = 5.986 Å, c = 6.013 Å
α = 109.38°, β = 109.56°, γ = 109.38°
Atoms (fractional coordinates):
Er (0.000, 0.004, 0.500)
Er (0.500, 0.004, 0.000)
Er (0.500, 0.504, 0.500)
Pd (0.000, 0.504, 0.500)
Pd (0.500, 0.504, 0.000)
Pd (0.500, 0.004, 0.500)
Tb (0.000, 0.503, 0.000)

=====

x:
Material: TbEr3Pd3
Method: DFT, PBE
State: optimized geometry

Computed properties:
For the total magnetization, the calculation gives 0.000 μB per atom. For the density of states at the Fermi level, the calculation gives 9.94 states/eV/cell.

a = 6.923 Å, b = 6.923 Å, c = 7.058 Å
α = 91.28°, β = 91.28°, γ = 97.23°
Atoms (fractional coordinates):
Pd (0.010, 0.504, 0.278)
Pd (0.062, 0.062, 0.805)
Pd (0.938, 0.938, 0.195)
Pd (0.496, 0.990, 0.722)
Pd (0.504, 0.010, 0.278)
Pd (0.990, 0.496, 0.722)
Er (0.751, 0.249, 0.000)
Er (0.249, 0.751, 0.000)
Er (0.347, 0.347, 0.635)
Er (0.653, 0.653, 0.365)
Er (0.823, 0.177, 0.500)
Er (0.177, 0.823, 0.500)
Tb (0.736, 0.736, 0.878)
Tb (0.264, 0.264, 0.122)

=====

Which of them is the most stable, and which is the least stable? w and x, in that order.

=====

w:
Material: Tb3Er2Pd2
Method: DFT, PBE
State: optimized geometry

Computed properties:
For the total magnetization, the calculation gives 0.000 μB per atom. For the density of states at the Fermi level, the calculation gives 9.05 states/eV/cell.

a = 3.712 Å, b = 6.442 Å, c = 9.049 Å
α = 115.02°, β = 90.00°, γ = 106.74°
Atoms (fractional coordinates):
Pd (0.827, 0.654, 0.767)
Pd (0.173, 0.346, 0.233)
Er (0.841, 0.682, 0.186)
Er (0.159, 0.318, 0.814)
Tb (0.500, 0.000, 0.000)
Tb (0.387, 0.774, 0.560)
Tb (0.613, 0.226, 0.440)

=====

x:
Material: Tb3Er2Pd2
Method: DFT, PBE
State: optimized geometry

Computed properties:
For the total magnetization, the calculation gives 0.000 μB per atom. For the density of states at the Fermi level, the calculation gives 8.15 states/eV/cell.

a = 3.705 Å, b = 10.170 Å, c = 6.570 Å
α = 54.92°, β = 73.64°, γ = 90.01°
Atoms (fractional coordinates):
Tb (0.154, 0.708, 0.691)
Tb (0.000, 0.000, 0.000)
Tb (0.846, 0.292, 0.309)
Er (0.388, 0.626, 0.223)
Er (0.612, 0.374, 0.777)
Pd (0.641, 0.926, 0.717)
Pd (0.359, 0.074, 0.283)

=====

Which of them is the most stable, and which is the least stable? w and x, in that order.

=====

w:
Material: TbEr4Pd2
Method: DFT, PBE
State: optimized geometry

Computed properties:
For the total magnetization, the calculation gives 0.000 μB per atom. For the density of states at the Fermi level, the calculation gives 17.45 states/eV/cell.

a = 6.330 Å, b = 7.790 Å, c = 8.049 Å
α = 112.68°, β = 90.00°, γ = 90.00°
Atoms (fractional coordinates):
Er (0.250, 0.979, 0.608)
Er (0.996, 0.407, 0.770)
Er (0.504, 0.407, 0.770)
Er (0.496, 0.593, 0.230)
Er (0.250, 0.247, 0.349)
Er (0.004, 0.593, 0.230)
Er (0.750, 0.753, 0.651)
Er (0.750, 0.021, 0.392)
Tb (0.250, 0.846, 0.976)
Tb (0.750, 0.154, 0.024)
Pd (0.750, 0.758, 0.008)
Pd (0.250, 0.242, 0.992)
Pd (0.250, 0.618, 0.580)
Pd (0.750, 0.382, 0.420)

=====

x:
Material: TbEr4Pd2
Method: DFT, PBE
State: optimized geometry

Computed properties:
For the total magnetization, the calculation gives 0.000 μB per atom. For the density of states at the Fermi level, the calculation gives 9.04 states/eV/cell.

a = 3.834 Å, b = 3.834 Å, c = 15.635 Å
α = 82.96°, β = 82.96°, γ = 60.00°
Atoms (fractional coordinates):
Er (0.698, 0.698, 0.906)
Er (0.106, 0.106, 0.683)
Er (0.894, 0.894, 0.317)
Er (0.302, 0.302, 0.094)
Pd (0.402, 0.402, 0.795)
Pd (0.598, 0.598, 0.205)
Tb (0.500, 0.500, 0.500)

=====

Which of them is the most stable, and which is the least stable? w and x, in that order.

=====

w:
Material: TbEr3Pd
Method: DFT, PBE
State: optimized geometry

Computed properties:
For the total magnetization, the calculation gives 0.000 μB per atom. For the density of states at the Fermi level, the calculation gives 15.16 states/eV/cell.

a = 7.131 Å, b = 7.131 Å, c = 7.477 Å
α = 104.09°, β = 114.93°, γ = 107.62°
Atoms (fractional coordinates):
Er (0.165, 0.990, 0.756)
Er (0.728, 0.459, 0.187)
Er (0.234, 0.408, 0.244)
Er (0.272, 0.541, 0.813)
Er (0.835, 0.010, 0.244)
Er (0.766, 0.592, 0.756)
Pd (0.650, 0.766, 0.416)
Pd (0.350, 0.234, 0.584)
Tb (0.297, 0.926, 0.223)
Tb (0.703, 0.074, 0.777)

=====

x:
Material: TbEr3Pd
Method: DFT, PBE
State: optimized geometry

Computed properties:
For the total magnetization, the calculation gives 0.000 μB per atom. For the density of states at the Fermi level, the calculation gives 13.85 states/eV/cell.

a = 5.192 Å, b = 6.265 Å, c = 8.964 Å
α = 95.76°, β = 106.83°, γ = 90.00°
Atoms (fractional coordinates):
Er (0.318, 0.099, 0.636)
Er (0.962, 0.229, 0.924)
Er (0.038, 0.771, 0.076)
Er (0.206, 0.562, 0.412)
Er (0.794, 0.438, 0.588)
Er (0.682, 0.901, 0.364)
Pd (0.146, 0.132, 0.291)
Pd (0.854, 0.868, 0.709)
Tb (0.410, 0.635, 0.820)
Tb (0.590, 0.365, 0.180)

=====

Which of them is the most stable, and which is the least stable? x and w, in that order.

=====

w:
Material: Er4TcPd
Method: DFT, PBE
State: optimized geometry

Computed properties:
For the total magnetization, the calculation gives 0.000 μB per atom. For the density of states at the Fermi level, the calculation gives 6.50 states/eV/cell.

a = 7.674 Å, b = 7.674 Å, c = 7.674 Å
α = 107.25°, β = 107.25°, γ = 114.02°
Atoms (fractional coordinates):
Er (0.740, 0.444, 0.704)
Er (0.786, 0.990, 0.796)
Er (0.315, 0.512, 0.803)
Er (0.709, 0.512, 0.197)
Er (0.194, 0.990, 0.204)
Er (0.740, 0.036, 0.296)
Er (0.262, 0.565, 0.303)
Er (0.262, 0.959, 0.697)
Pd (0.248, 0.248, 0.000)
Pd (0.998, 0.498, 0.500)
Tc (0.499, 0.999, 0.500)
Tc (0.749, 0.749, 0.000)

=====

x:
Material: Er4TcPd
Method: DFT, PBE
State: optimized geometry

Computed properties:
For the total magnetization, the calculation gives 0.000 μB per atom. For the density of states at the Fermi level, the calculation gives 16.32 states/eV/cell.

a = 4.288 Å, b = 7.523 Å, c = 18.121 Å
α = 90.00°, β = 90.00°, γ = 90.00°
Atoms (fractional coordinates):
Er (0.250, 0.097, 0.353)
Er (0.750, 0.994, 0.928)
Er (0.250, 0.573, 0.719)
Er (0.250, 0.073, 0.781)
Er (0.750, 0.903, 0.647)
Er (0.250, 0.149, 0.544)
Er (0.250, 0.649, 0.956)
Er (0.250, 0.506, 0.428)
Er (0.750, 0.351, 0.044)
Er (0.750, 0.427, 0.281)
Er (0.750, 0.494, 0.572)
Er (0.750, 0.927, 0.219)
Er (0.250, 0.006, 0.072)
Er (0.250, 0.597, 0.147)
Er (0.750, 0.403, 0.853)
Er (0.750, 0.851, 0.456)
Tc (0.250, 0.250, 0.938)
Tc (0.750, 0.750, 0.062)
Tc (0.250, 0.750, 0.562)
Tc (0.750, 0.250, 0.438)
Pd (0.750, 0.273, 0.702)
Pd (0.250, 0.227, 0.202)
Pd (0.750, 0.773, 0.798)
Pd (0.250, 0.727, 0.298)

=====

Which of them is the most stable, and which is the least stable? x and w, in that order.

=====

w:
Material: Er2TePd
Method: DFT, PBE
State: optimized geometry

Computed properties:
For the total magnetization, the calculation gives 0.000 μB per atom. For the density of states at the Fermi level, the calculation gives 6.39 states/eV/cell.

a = 4.456 Å, b = 3.965 Å, c = 11.681 Å
α = 99.77°, β = 90.00°, γ = 90.00°
Atoms (fractional coordinates):
Er (0.250, 0.058, 0.116)
Er (0.750, 0.942, 0.884)
Er (0.750, 0.663, 0.327)
Er (0.250, 0.337, 0.673)
Pd (0.750, 0.540, 0.081)
Pd (0.250, 0.460, 0.919)
Te (0.750, 0.804, 0.608)
Te (0.250, 0.196, 0.392)

=====

x:
Material: Er2TePd
Method: DFT, PBE
State: optimized geometry

Computed properties:
For the total magnetization, the calculation gives 0.000 μB per atom. For the density of states at the Fermi level, the calculation gives 2.47 states/eV/cell.

a = 3.772 Å, b = 3.772 Å, c = 9.629 Å
α = 78.70°, β = 78.70°, γ = 60.00°
Atoms (fractional coordinates):
Pd (0.000, 0.000, 0.000)
Te (0.500, 0.500, 0.500)
Er (0.092, 0.092, 0.724)
Er (0.908, 0.908, 0.276)

=====

Which of them is the most stable, and which is the least stable? w and x, in that order.

=====

w:
Material: Er2TePd
Method: DFT, PBE
State: optimized geometry

Computed properties:
For the total magnetization, the calculation gives 0.000 μB per atom. For the density of states at the Fermi level, the calculation gives 1.26 states/eV/cell.

a = 4.151 Å, b = 4.151 Å, c = 7.585 Å
α = 74.12°, β = 74.12°, γ = 60.00°
Atoms (fractional coordinates):
Er (0.070, 0.070, 0.790)
Er (0.264, 0.264, 0.208)
Te (0.500, 0.500, 0.501)
Pd (0.666, 0.666, 0.002)

=====

x:
Material: Er2TePd
Method: DFT, PBE
State: optimized geometry

Computed properties:
For the total magnetization, the calculation gives 0.067 μB per atom. For the density of states at the Fermi level, the calculation gives 2.80 states/eV/cell.

a = 3.701 Å, b = 3.701 Å, c = 7.007 Å
α = 90.00°, β = 90.00°, γ = 90.00°
Each line ends with the local moment (μB).
Atoms (fractional coordinates):
Pd (0.500, 0.500, 0.000)  0.01
Er (0.000, 0.000, 0.769)  0.10
Er (0.000, 0.000, 0.231)  0.10
Te (0.500, 0.500, 0.500)  0.00

=====

Which of them is the most stable, and which is the least stable? w and x, in that order.

=====

w:
Material: ErTePd2
Method: DFT, PBE
State: optimized geometry

Computed properties:
For the total magnetization, the calculation gives 0.000 μB per atom. For the density of states at the Fermi level, the calculation gives 1.65 states/eV/cell.

a = 4.282 Å, b = 4.320 Å, c = 4.320 Å
α = 90.00°, β = 90.00°, γ = 90.00°
Atoms (fractional coordinates):
Pd (0.000, 0.500, 0.000)
Pd (0.000, 0.000, 0.500)
Te (0.500, 0.000, 0.000)
Er (0.500, 0.500, 0.500)

=====

x:
Material: ErTePd2
Method: DFT, PBE
State: optimized geometry

Computed properties:
For the total magnetization, the calculation gives 0.000 μB per atom. For the density of states at the Fermi level, the calculation gives 1.81 states/eV/cell.

a = 4.848 Å, b = 4.848 Å, c = 4.849 Å
α = 60.01°, β = 60.01°, γ = 60.00°
Atoms (fractional coordinates):
Te (0.500, 0.500, 0.500)
Pd (0.250, 0.250, 0.251)
Pd (0.750, 0.750, 0.749)
Er (0.000, 0.000, 0.000)

=====

Which of them is the most stable, and which is the least stable? w and x, in that order.

=====

w:
Material: Er7Te2Pd2
Method: DFT, PBE
State: optimized geometry

Computed properties:
For the total magnetization, the calculation gives 0.000 μB per atom. For the density of states at the Fermi level, the calculation gives 8.23 states/eV/cell.

a = 9.363 Å, b = 9.363 Å, c = 9.363 Å
α = 155.75°, β = 118.32°, γ = 67.28°
Atoms (fractional coordinates):
Er (0.286, 0.870, 0.416)
Er (0.545, 0.130, 0.416)
Er (0.908, 0.643, 0.265)
Er (0.307, 0.683, 0.624)
Er (0.622, 0.357, 0.265)
Er (0.999, 0.000, 0.999)
Er (0.941, 0.317, 0.624)
Pd (0.165, 0.237, 0.929)
Pd (0.692, 0.763, 0.929)
Te (0.661, 0.000, 0.661)
Te (0.264, 0.500, 0.764)

=====

x:
Material: Er7Te2Pd2
Method: DFT, PBE
State: optimized geometry

Computed properties:
For the total magnetization, the calculation gives 0.000 μB per atom. For the density of states at the Fermi level, the calculation gives 10.03 states/eV/cell.

a = 3.936 Å, b = 9.173 Å, c = 9.173 Å
α = 67.11°, β = 77.61°, γ = 77.61°
Atoms (fractional coordinates):
Te (0.279, 0.314, 0.127)
Te (0.721, 0.873, 0.686)
Er (0.116, 0.161, 0.607)
Er (0.186, 0.685, 0.943)
Er (0.500, 0.994, 0.006)
Er (0.814, 0.057, 0.315)
Er (0.387, 0.728, 0.499)
Er (0.613, 0.501, 0.272)
Er (0.884, 0.393, 0.839)
Pd (0.500, 0.385, 0.615)
Pd (0.000, 0.763, 0.237)

=====

Which of them is the most stable, and which is the least stable? w and x, in that order.